No. 1
Entry from Alexandria: a relaxed structure of CaEr2Tm (PBE).

**ΔH_f (0 K)**: 0.072 eV/atom
**N(E_F)**: 5.31 states/eV/f.u.
**Volume**: 32.6 A^3/atom

a = 3.5515 Å, b = 3.5515 Å, c = 35.7720 Å
α = 90.00°, β = 90.00°, γ = 120.00°
Last column: nearest neighbours and their distance in Å.
Space group R3m (No. 160, hexagonal axes)
Asymmetric unit:
Ca: 0.0000 0.0000 0.0000 x3  6 Ca 3.55, 6 Er 3.77-3.80
Er: 0.0000 0.0000 0.2450 x3  3 Tm 3.45, 6 Er 3.55, 3 Ca 3.77
Er: 0.0000 0.0000 0.4228 x3  3 Tm 3.46, 6 Er 3.55, 3 Ca 3.80
Tm: 0.0000 0.0000 0.8342 x3  6 Er 3.45-3.46, 6 Tm 3.55

No. 2
Entry from Alexandria: a relaxed structure of CaY15Er4 (PBE).

**ΔH_f (0 K)**: 0.043 eV/atom
**N(E_F)**: 29.71 states/eV/f.u.
**Volume**: 32.3 A^3/atom

a = 5.0516 Å, b = 5.0516 Å, c = 25.3207 Å
α = 90.00°, β = 90.00°, γ = 90.00°
Last column: nearest neighbours and their distance in Å.
Space group P4/mmm (No. 123)
Asymmetric unit:
Ca: 0.0000 0.0000 0.0000 x1  12 Y 3.57-3.67
Y: 0.0000 0.5000 0.1050 x4  8 Y 3.51-3.67, 2 Er 3.52, 2 Ca 3.67
Y: 0.0000 0.5000 0.3018 x4  8 Y 3.56-3.58, 4 Er 3.56-3.57
Y: 0.0000 0.5000 0.5000 x2  4 Er 3.56, 8 Y 3.56-3.57
Y: 0.5000 0.5000 0.0000 x1  4 Ca 3.57, 8 Y 3.67
Y: 0.5000 0.5000 0.2015 x2  8 Y 3.51-3.58, 4 Er 3.57
Y: 0.5000 0.5000 0.4007 x2  8 Y 3.56, 4 Er 3.57
Er: 0.0000 0.0000 0.2019 x2  12 Y 3.52-3.57
Er: 0.0000 0.0000 0.4007 x2  12 Y 3.56-3.57

No. 3
Entry from Alexandria: a relaxed structure of CaY8Er5 (PBE).

**ΔH_f (0 K)**: 0.289 eV/atom
**N(E_F)**: 23.78 states/eV/f.u.
**Volume**: 33.2 A^3/atom

a = 9.6108 Å, b = 9.6108 Å, c = 10.0600 Å
α = 90.00°, β = 90.00°, γ = 90.00°
Last column: nearest neighbours and their distance in Å.
Space group I-4 (No. 82)
Asymmetric unit:
Ca: 0.0000 0.0000 0.0000 x2  8 Y 3.20-3.39
Y: 0.0690 0.3319 0.9070 x8  1 Ca 3.39, 4 Er 3.46-3.54, 4 Y 3.49-3.79
Y: 0.0954 0.1778 0.2529 x8  1 Ca 3.20, 5 Er 3.23-3.49, 1 Y 3.58
Er: 0.0000 0.5000 0.2500 x2  4 Y 3.23
Er: 0.1122 0.2050 0.5800 x8  8 Y 3.31-3.54, 2 Er 3.56

No. 4
Entry from Alexandria: a relaxed structure of CaYEr4 (PBE).

**ΔH_f (0 K)**: 0.207 eV/atom
**N(E_F)**: 8.72 states/eV/f.u.
**Volume**: 33.8 A^3/atom

a = 9.3294 Å, b = 9.3294 Å, c = 9.3294 Å
α = 90.00°, β = 90.00°, γ = 90.00°
Last column: nearest neighbours and their distance in Å.
Space group F-43m (No. 216)
Asymmetric unit:
Ca: 0.0000 0.0000 0.0000 x4  12 Er 3.87, 4 Y 4.04
Y: 0.2500 0.2500 0.2500 x4  12 Er 3.86, 4 Ca 4.04
Er: 0.1235 0.1235 0.6235 x16  6 Er 3.26-3.34

No. 5
Entry from Alexandria: a relaxed structure of CaYEr2 (PBE).

**ΔH_f (0 K)**: 0.072 eV/atom
**N(E_F)**: 5.81 states/eV/f.u.
**Volume**: 33.2 A^3/atom

a = 3.5784 Å, b = 3.5784 Å, c = 35.9358 Å
α = 90.00°, β = 90.00°, γ = 120.00°
Last column: nearest neighbours and their distance in Å.
Space group R3m (No. 160, hexagonal axes)
Asymmetric unit:
Ca: 0.0000 0.0000 0.0000 x3  6 Ca 3.58, 6 Er 3.76-3.80
Y: 0.0000 0.0000 0.1657 x3  6 Er 3.49-3.51, 6 Y 3.58
Er: 0.0000 0.0000 0.5780 x3  3 Y 3.51, 6 Er 3.58, 3 Ca 3.80
Er: 0.0000 0.0000 0.7540 x3  3 Y 3.49, 6 Er 3.58, 3 Ca 3.76

No. 6
Entry from Alexandria: a relaxed structure of CaY5Er4 (PBE).

**ΔH_f (0 K)**: 0.043 eV/atom
**N(E_F)**: 14.72 states/eV/f.u.
**Volume**: 32.4 A^3/atom

a = 3.5677 Å, b = 3.5677 Å, c = 25.4317 Å
α = 90.00°, β = 90.00°, γ = 90.00°
Last column: nearest neighbours and their distance in Å.
Space group P4/mmm (No. 123)
Asymmetric unit:
Ca: 0.0000 0.0000 0.0000 x1  4 Ca 3.57, 8 Y 3.79
Y: 0.5000 0.5000 0.1113 x2  4 Er 3.48, 4 Y 3.57, 4 Ca 3.79
Y: 0.5000 0.5000 0.3046 x2  8 Er 3.54-3.56, 4 Y 3.57
Y: 0.5000 0.5000 0.5000 x1  8 Er 3.55, 4 Y 3.57
Er: 0.0000 0.0000 0.2057 x2  8 Y 3.48-3.56, 4 Er 3.57
Er: 0.0000 0.0000 0.4020 x2  8 Y 3.54-3.55, 4 Er 3.57